[1]
DFT (PBE-GGA) results for a geometry-optimized SrLiCe2S5 structure.

```
SrLiCe2S5
1.0
-3.8446 3.8446 6.7623
3.8446 -3.8446 6.7623
3.8446 3.8446 -6.7623
Sr Li Ce S
2 2 4 10
Direct
0.2500 0.2500 0.0000
0.7500 0.7500 0.0000
0.2500 0.7500 0.5000
0.7500 0.2500 0.5000
0.1597 0.6597 0.8194
0.3403 0.1597 0.5000
0.6597 0.8403 0.5000
0.8403 0.3403 0.1806
0.0000 0.0000 0.0000
0.0209 0.2127 0.5000
0.2127 0.7127 0.1918
0.2873 0.4791 0.5000
0.4791 0.9791 0.1918
0.5000 0.5000 0.0000
0.5209 0.0209 0.8082
0.7127 0.5209 0.5000
0.7873 0.2873 0.8082
0.9791 0.7873 0.5000
```

Summary:
* theoretical density: 4.445 g/cm³
* calculated total energy: -5.867 eV per atom

***

[2]
DFT (PBE-GGA) results for a geometry-optimized Sr2LiCeS4 structure.

```
Sr2LiCeS4
1.0
7.0989 0.0000 0.0000
0.0000 4.1896 0.0000
-2.3221 0.0000 6.7835
Sr Li Ce S
2 1 1 4
Direct
0.0000 0.0000 0.0000
0.5000 0.5000 0.0000
0.0000 0.5000 0.5000
0.5000 0.0000 0.5000
0.2518 0.0000 0.7360
0.2544 0.5000 0.2667
0.7456 0.5000 0.7333
0.7482 0.0000 0.2640
```

Summary:
* theoretical density: 3.708 g/cm³
* calculated total energy: -5.359 eV per atom

***

[3]
DFT (PBE-GGA) results for a geometry-optimized LiTb3Ce2S6 structure.

```
LiTb3Ce2S6
1.0
3.4136 -5.9237 0.0000
3.4136 5.9237 0.0000
-2.2938 0.0000 6.4566
Li Tb Ce S
1 3 2 6
Direct
0.0000 0.0000 0.0000
0.1660 0.8340 0.5000
0.5000 0.5000 0.5000
0.8340 0.1660 0.5000
0.3343 0.6657 0.0000
0.6657 0.3343 0.0000
0.0839 0.4089 0.2529
0.2399 0.2399 0.7487
0.4089 0.0839 0.2529
0.5911 0.9161 0.7471
0.7601 0.7601 0.2513
0.9161 0.5911 0.7471
```

Summary:
* theoretical density: 6.082 g/cm³
* calculated total energy: -6.325 eV per atom

***

[4]
DFT (PBE-GGA) results for a geometry-optimized LiTbCe2S4 structure.

```
LiTbCe2S4
1.0
6.8523 0.0000 0.0000
0.0000 3.9680 0.0000
-2.2970 0.0000 6.4814
Li Tb Ce S
1 1 2 4
Direct
0.0000 0.0000 0.0000
0.5000 0.5000 0.0000
0.0000 0.5000 0.5000
0.5000 0.0000 0.5000
0.2429 0.5000 0.2364
0.2494 0.0000 0.7632
0.7506 0.0000 0.2368
0.7571 0.5000 0.7636
```

Summary:
* theoretical density: 5.412 g/cm³
* calculated total energy: -6.257 eV per atom